Compound: AlIrPb
Source: Alexandria
Functional: PBE
Structure: relaxed

```
AlIrPb
1.0
4.2244 0.0000 0.0000
-2.1122 3.6584 0.0000
0.0000 0.0000 4.0579
Al Ir Pb
1 1 1
Direct
0.0000 0.0000 0.0000
0.6667 0.3333 0.0000
0.3333 0.6667 0.5000
```

Summary:
The spin magnetization is 0.000 μB per formula unit. For the formation energy, the calculation gives 0.03 eV per atom. As for the crystal system: hexagonal. As for the calculated total energy: -5.4087 eV/atom.